The following is a PBE calculation of a relaxed structure of Y3Th2Sc, from the Alexandria database.

The value obtained for the density of states at the Fermi level is 10.40 states/eV/f.u. The electronic total energy comes out at -6.718 eV/atom. For the energy relative to the lowest polymorph listed for this composition, the calculation gives 0.03 eV per formula unit. The calculation puts the magnetic moment at 0.000 μB per formula unit.

The structure belongs to space group C2/m (No. 12); the cell edges are 21.603, 3.573 and 11.413 Å and the angles 90.00°, 121.53° and 90.00°. Symmetry generates all atoms from Y at (0.057, 0.000, 0.422), Y at (0.111, 0.500, 0.732), Y at (0.225, 0.500, 0.598), Th at (0.060, 0.000, 0.940), Th at (0.218, 0.500, 0.094) and Sc at (0.109, 0.500, 0.233).

---

The following is a PBE calculation of a relaxed structure of Tl2Cu3RuF12, from the Alexandria database.

The value obtained for the density of states at the Fermi level is 9.03 states/eV/f.u. The uncorrected formation energy is -1.6791 eV per atom. The electronic total energy comes out at -4.388 eV/atom. The calculation puts the magnetic moment at 5.008 μB per formula unit.

The structure belongs to space group R-3m (No. 166, hexagonal axes); the cell edges are 7.1075, 7.1075 and 20.3355 Å and the angles 90.00°, 90.00° and 120.00°. Symmetry generates all atoms from Tl at (0.0000, 0.0000, 0.0978), Cu at (0.0000, 0.5000, 0.0000), Ru at (0.0000, 0.0000, 0.5000), F at (0.0637, 0.5318, 0.3567) and F at (0.0725, 0.5362, 0.1132).

---

The following is a PBE calculation of a relaxed structure of Pd2SeNO, from the Alexandria database.

The value obtained for the density of states at the Fermi level is 3.48 states/eV/f.u. The uncorrected formation energy is 1.2704 eV per atom. The electronic total energy comes out at -4.160 eV/atom. The calculation puts the magnetic moment at 0.006 μB per formula unit.

The structure belongs to space group P4/mmm (No. 123); the cell edges are 4.069, 4.069 and 4.540 Å and the angles 90.00°, 90.00° and 90.00°. Symmetry generates all atoms from Pd at (0.000, 0.500, 0.000), Se at (0.000, 0.000, 0.500), N at (0.500, 0.500, 0.500) and O at (0.000, 0.000, 0.000).

---

The following is a PBE calculation of a relaxed structure of HoTmHgRh, from the Alexandria database.

The value obtained for the density of states at the Fermi level is 2.46 states/eV/f.u. The electronic total energy comes out at -4.901 eV/atom. For the energy relative to the lowest polymorph listed for this composition, the calculation gives 0.00 eV per formula unit. The calculation puts the magnetic moment at 0.000 μB per formula unit.

The structure belongs to space group P4mm (No. 99); the cell edges are 3.468, 3.468 and 7.442 Å and the angles 90.00°, 90.00° and 90.00°. Symmetry generates all atoms from Ho at (0.000, 0.000, 0.000), Tm at (0.000, 0.000, 0.559), Hg at (0.500, 0.500, 0.283) and Rh at (0.500, 0.500, 0.776).

---

The following is a PBE calculation of a relaxed structure of Ag2HgOs, from the Alexandria database.

The value obtained for the density of states at the Fermi level is 1.71 states/eV/f.u. The electronic total energy comes out at -3.618 eV/atom. The calculation puts the magnetic moment at 0.000 μB per formula unit.

The structure belongs to space group Imm2 (No. 44); the cell edges are 2.803, 5.042 and 10.082 Å and the angles 90.00°, 90.00° and 90.00°. Symmetry generates all atoms from Ag at (0.000, 0.000, 0.000), Ag at (0.000, 0.500, 0.246), Hg at (0.000, 0.500, 0.758) and Os at (0.000, 0.000, 0.504).

---

The following is a PBE calculation of a relaxed structure of NpTlZn2O8, from the Alexandria database.

The value obtained for the density of states at the Fermi level is 9.78 states/eV/f.u. The uncorrected formation energy is -1.2404 eV per atom. The electronic total energy comes out at -6.034 eV/atom. The calculation puts the magnetic moment at 0.739 μB per formula unit.

The structure belongs to space group I-4m2 (No. 119); the cell edges are 6.676, 6.676 and 7.218 Å and the angles 90.00°, 90.00° and 90.00°. Symmetry generates all atoms from Np at (0.000, 0.000, 0.000), Tl at (0.000, 0.500, 0.750), Zn at (0.000, 0.000, 0.500), Zn at (0.000, 0.500, 0.250), O at (0.000, 0.176, 0.712) and O at (0.000, 0.292, 0.057).

---

The following is a PBE calculation of a relaxed structure of Ac2Bi4PdPt3, from the Alexandria database.

The value obtained for the density of states at the Fermi level is 3.98 states/eV/f.u. The electronic total energy comes out at -5.377 eV/atom. The calculation puts the magnetic moment at 0.000 μB per formula unit.

The structure belongs to space group P-4m2 (No. 115); the cell edges are 4.921, 4.921 and 10.881 Å and the angles 90.00°, 90.00° and 90.00°. Symmetry generates all atoms from Ac at (0.000, 0.500, 0.231), Bi at (0.000, 0.000, 0.500), Bi at (0.000, 0.500, 0.876), Bi at (0.500, 0.500, 0.500), Pd at (0.500, 0.500, 0.000), Pt at (0.000, 0.000, 0.000) and Pt at (0.000, 0.500, 0.627).

---

The following is a PBE calculation of a relaxed structure of Ba2AgH12Rh3, from the Alexandria database.

The value obtained for the density of states at the Fermi level is 3.69 states/eV/f.u. The electronic total energy comes out at -4.132 eV/atom. The calculation puts the magnetic moment at 0.000 μB per formula unit.

The structure belongs to space group R-3m (No. 166, hexagonal axes); the cell edges are 6.4660, 6.4660 and 15.6342 Å and the angles 90.00°, 90.00° and 120.00°. Symmetry generates all atoms from Ba at (0.0000, 0.0000, 0.1194), Ag at (0.0000, 0.0000, 0.5000), H at (0.0219, 0.5109, 0.1075), H at (0.0570, 0.5285, 0.3479) and Rh at (0.0000, 0.5000, 0.0000).

---

The following is a PBE calculation of a relaxed structure of Ac4PmY, from the Alexandria database.

The value obtained for the density of states at the Fermi level is 11.76 states/eV/f.u. The electronic total energy comes out at -4.465 eV/atom. For the energy relative to the lowest polymorph listed for this composition, the calculation gives 0.00 eV per formula unit. The calculation puts the magnetic moment at 0.000 μB per formula unit.

The structure belongs to space group Pmmm (No. 47); the cell edges are 3.733, 6.206 and 10.666 Å and the angles 90.00°, 90.00° and 90.00°. Symmetry generates all atoms from Ac at (0.000, 0.000, 0.167), Ac at (0.000, 0.500, 0.332), Pm at (0.500, 0.000, 0.500) and Y at (0.500, 0.500, 0.000).

---

The following is a PBE calculation of a relaxed structure of Pr4Ho2Tm3, from the Alexandria database.

The value obtained for the density of states at the Fermi level is 11.89 states/eV/f.u. The electronic total energy comes out at -4.542 eV/atom. For the energy relative to the lowest polymorph listed for this composition, the calculation gives 0.36 eV per formula unit. The calculation puts the magnetic moment at 0.000 μB per formula unit.

The structure belongs to space group C2/c (No. 15); the cell edges are 16.852, 11.779 and 6.010 Å and the angles 90.00°, 97.56° and 90.00°. Symmetry generates all atoms from Pr at (0.064, 0.113, 0.043), Pr at (0.226, 0.389, 0.883), Ho at (0.102, 0.394, 0.299), Tm at (0.000, 0.353, 0.750) and Tm at (0.170, 0.151, 0.579).

---

The following is a PBE calculation of a relaxed structure of CuTeAs2, from the Alexandria database.

The value obtained for the density of states at the Fermi level is 1.90 states/eV/f.u. The uncorrected formation energy is 0.4191 eV per atom. The electronic total energy comes out at -3.715 eV/atom. The calculation puts the magnetic moment at 0.000 μB per formula unit.

The structure belongs to space group P4/mmm (No. 123); the cell edges are 3.833, 3.833 and 5.674 Å and the angles 90.00°, 90.00° and 90.00°. Symmetry generates all atoms from Cu at (0.000, 0.000, 0.000), Te at (0.500, 0.500, 0.000) and As at (0.000, 0.500, 0.500).

---

The following is a PBE calculation of a relaxed structure of HfHgN2F, from the Alexandria database.

The value obtained for the density of states at the Fermi level is 2.64 states/eV/f.u. The uncorrected formation energy is -0.5747 eV per atom. The electronic total energy comes out at -6.330 eV/atom. For the energy relative to the lowest polymorph listed for this composition, the calculation gives 0.00 eV per formula unit. The calculation puts the magnetic moment at 0.433 μB per formula unit.

The structure belongs to space group P4/mmm (No. 123); the cell edges are 4.265, 4.265 and 4.094 Å and the angles 90.00°, 90.00° and 90.00°. Symmetry generates all atoms from Hf at (0.000, 0.000, 0.000), Hg at (0.500, 0.500, 0.500), N at (0.000, 0.500, 0.000) and F at (0.000, 0.000, 0.500).